# 1
MgSiTe2N: optimized geometry, GGA-PBE.

Cell and atoms, written as POSCAR:
```
MgSiTe2N
1.0
5.610 0.000 0.000
0.000 5.610 0.000
0.000 0.000 3.875
Mg Si Te N
1 1 2 1
Cartesian
0.000 0.000 0.000
2.805 2.805 1.937
0.000 2.805 0.000
2.805 0.000 0.000
0.000 0.000 1.937
```

Results
Space group: P4/mmm, No. 123
Raw formation energy: 0.8535 eV per atom
Raw total energy: -0.255 Ry per atom
Offset from the most stable computed form: 829.5 meV/atom

# 2
TbSmEr3: optimized geometry, GGA-PBE.

Cell and atoms, written as POSCAR:
```
TbSmEr3
1.0
6.270 0.000 0.000
0.000 5.619 0.000
-3.131 0.000 9.038
Tb Sm Er
2 2 6
Cartesian
-0.515 1.405 4.513
3.654 4.214 4.525
-0.522 1.405 8.115
3.661 4.214 0.922
-2.609 4.214 8.127
0.527 4.214 2.713
0.537 4.214 6.313
2.602 1.405 2.725
2.612 1.405 6.325
5.748 1.405 0.910
```

Results
Space group: P2_1/m, No. 11
Formation energy from the elements: 0.042 eV/f.u.
Raw total energy: -0.338 Ry per atom
Offset from the most stable computed form: 0.0 meV/atom

# 3
BaTbH: optimized geometry, GGA-PBE.

Cell and atoms, written as POSCAR:
```
BaTbH
1.0
3.285 -1.897 0.000
3.285 1.897 0.000
-0.273 0.000 13.033
Ba Tb H
2 2 2
Cartesian
-0.003 0.000 4.523
6.300 0.000 8.510
2.190 0.000 1.419
4.106 0.000 11.614
1.919 0.000 10.386
4.377 0.000 2.647
```

Results
Space group: C2/m, No. 12
Raw total energy: -0.248 Ry per atom

# 4
TaCo2Ru: optimized geometry, GGA-PBE.

Cell and atoms, written as POSCAR:
```
TaCo2Ru
1.0
0.000 2.644 3.743
2.640 0.000 3.743
2.640 2.644 0.000
Ta Co Ru
1 2 1
Cartesian
0.000 0.000 0.000
1.320 1.322 1.872
3.961 3.966 5.615
2.640 2.644 3.743
```

Results
Space group: Fmmm, No. 69
Formation energy from the elements: -0.655 eV/f.u.
Raw total energy: -0.661 Ry per atom
Offset from the most stable computed form: 51.7 meV/atom

Copy entry 2 word for word.
TbSmEr3: optimized geometry, GGA-PBE.

Cell and atoms, written as POSCAR:
```
TbSmEr3
1.0
6.270 0.000 0.000
0.000 5.619 0.000
-3.131 0.000 9.038
Tb Sm Er
2 2 6
Cartesian
-0.515 1.405 4.513
3.654 4.214 4.525
-0.522 1.405 8.115
3.661 4.214 0.922
-2.609 4.214 8.127
0.527 4.214 2.713
0.537 4.214 6.313
2.602 1.405 2.725
2.612 1.405 6.325
5.748 1.405 0.910
```

Results
Space group: P2_1/m, No. 11
Formation energy from the elements: 0.042 eV/f.u.
Raw total energy: -0.338 Ry per atom
Offset from the most stable computed form: 0.0 meV/atom